Entry 1:
TlZnFeTc after structural relaxation, computed with PBE-GGA.

Calculated total energy in eV per atom: -5.02
Density in g cm⁻³: 11.2
Relative energy among the computed polymorphs in meV per atom: 0

a b c (Å): 4.4611 4.4611 4.4611
angles (deg): 60.00 60.00 60.00
Closest atoms and distances in Å follow each position.
Fractional coordinates of all 4 atoms:
Tl (0.0000, 0.0000, 0.0000)  4 Fe 2.73, 4 Zn 2.73
Zn (0.7500, 0.7500, 0.7500)  4 Tl 2.73, 4 Tc 2.73
Fe (0.2500, 0.2500, 0.2500)  4 Tc 2.73, 4 Tl 2.73
Tc (0.5000, 0.5000, 0.5000)  4 Zn 2.73, 4 Fe 2.73

Entry 2:
SmAlZnGa2 after structural relaxation, computed with PBE-GGA.

Calculated total energy in eV per atom: -3.61
Density in g cm⁻³: 6.6

a b c (Å): 6.2500 6.2500 6.2500
angles (deg): 141.01 141.01 56.32
Closest atoms and distances in Å follow each position.
Fractional coordinates of all 5 atoms:
Sm (0.0000, 0.0000, 0.0000)  8 Ga 3.19, 4 Al 3.46, 4 Zn 3.46
Al (0.7500, 0.2500, 0.5000)  4 Ga 2.59
Zn (0.2500, 0.7500, 0.5000)  4 Ga 2.59
Ga (0.3888, 0.3888, 0.0000)  1 Ga 2.45, 2 Al 2.59, 2 Zn 2.59
Ga (0.6112, 0.6112, 0.0000)  1 Ga 2.45, 2 Al 2.59, 2 Zn 2.59

Entry 3:
Er3Lu3Te2Os after structural relaxation, computed with PBE-GGA.

Calculated total energy in eV per atom: -5.65
Density in g cm⁻³: 10.5
Relative energy among the computed polymorphs in meV per atom: 52

a b c (Å): 8.1861 8.1861 4.0167
angles (deg): 90.00 90.00 120.00
Closest atoms and distances in Å follow each position.
Fractional coordinates of all 9 atoms:
Er (0.0000, 0.2418, 0.0000)  2 Os 2.82
Er (0.2418, 0.0000, 0.0000)  2 Os 2.82
Er (0.7582, 0.7582, 0.0000)  2 Os 2.82
Lu (0.0000, 0.6175, 0.5000)  1 Os 3.13, 4 Te 3.25, 4 Er 3.40
Lu (0.3825, 0.3825, 0.5000)  1 Os 3.13, 4 Te 3.25, 4 Er 3.40
Lu (0.6175, 0.0000, 0.5000)  1 Os 3.13, 4 Te 3.25, 4 Er 3.40
Te (0.3333, 0.6667, 0.0000)  3 Er 3.17, 6 Lu 3.25
Te (0.6667, 0.3333, 0.0000)  3 Er 3.17, 6 Lu 3.25
Os (0.0000, 0.0000, 0.5000)  6 Er 2.82, 3 Lu 3.13

Entry 4:
Hf2ZrNi2As4Pd2 after structural relaxation, computed with PBE-GGA.

Calculated total energy in eV per atom: -7.03
Density in g cm⁻³: 9.4
Relative energy among the computed polymorphs in meV per atom: 0

a b c (Å): 6.5946 3.8716 7.4571
angles (deg): 90.00 90.85 90.00
Closest atoms and distances in Å follow each position.
Fractional coordinates of all 11 atoms:
Hf (0.0000, 0.0000, 0.0000)  5 As 2.72-2.84, 3 Ni 2.79-2.86, 2 Pd 3.01
Hf (0.0698, 0.5000, 0.6168)  5 As 2.73-2.88, 3 Ni 2.78-2.89, 2 Pd 2.94
Zr (0.5580, 0.5000, 0.4840)  5 As 2.62-2.79
Ni (0.1498, 0.5000, 0.2515)  4 As 2.38-2.47, 2 Ni 2.64
Ni (0.9099, 0.0000, 0.3638)  4 As 2.42-2.46, 2 Ni 2.64
As (0.2778, 0.0000, 0.4008)  3 Ni 2.38-2.44, 1 Pd 2.65
As (0.2836, 0.5000, 0.9521)  1 Ni 2.41, 3 Pd 2.54-2.68
As (0.7793, 0.5000, 0.1956)  3 Ni 2.46-2.47, 1 Pd 2.48, 1 Zr 2.62
As (0.7851, 0.0000, 0.6679)  1 Ni 2.42, 2 Pd 2.57
Pd (0.3732, 0.0000, 0.7467)  4 As 2.54-2.79
Pd (0.6789, 0.5000, 0.8735)  4 As 2.48-2.68

Entry 5:
RbCoCuTe3 after structural relaxation, computed with PBE-GGA.

Calculated total energy in eV per atom: -3.80
Density in g cm⁻³: 6.0

a b c (Å): 8.3445 8.3445 10.4864
angles (deg): 90.00 90.00 153.28
Closest atoms and distances in Å follow each position.
Fractional coordinates of all 12 atoms:
Rb (0.2400, 0.7600, 0.7500)  2 Cu 3.70, 8 Te 3.73-3.83, 2 Rb 3.86
Rb (0.7600, 0.2400, 0.2500)  2 Cu 3.70, 8 Te 3.73-3.83, 2 Rb 3.86
Co (0.0000, 0.0000, 0.0000)  6 Te 2.60-2.80
Co (0.0000, 0.0000, 0.5000)  6 Te 2.60-2.80
Cu (0.4546, 0.5454, 0.2500)  4 Te 2.54-2.58
Cu (0.5454, 0.4546, 0.7500)  4 Te 2.54-2.58
Te (0.0599, 0.9401, 0.2500)  2 Cu 2.58, 2 Co 2.80
Te (0.3940, 0.6060, 0.0270)  1 Cu 2.54, 2 Co 2.60
Te (0.3940, 0.6060, 0.4730)  1 Cu 2.54, 2 Co 2.60
Te (0.6060, 0.3940, 0.5270)  1 Cu 2.54, 2 Co 2.60
Te (0.6060, 0.3940, 0.9730)  1 Cu 2.54, 2 Co 2.60
Te (0.9401, 0.0599, 0.7500)  2 Cu 2.58, 2 Co 2.80

Entry 6:
MgCu2SiS4 after structural relaxation, computed with PBE-GGA.

Calculated total energy in eV per atom: -4.58
Density in g cm⁻³: 3.4

a b c (Å): 7.5532 6.4465 6.1935
angles (deg): 90.00 90.00 90.00
Closest atoms and distances in Å follow each position.
Fractional coordinates of all 16 atoms:
Mg (0.0000, 0.1547, 0.0000)  4 S 2.43-2.48
Mg (0.5000, 0.8453, 0.5000)  4 S 2.43-2.48
Cu (0.2476, 0.3225, 0.4904)  4 S 2.30-2.33
Cu (0.2524, 0.6775, 0.9904)  4 S 2.30-2.33
Cu (0.7476, 0.6775, 0.9904)  4 S 2.30-2.33
Cu (0.7524, 0.3225, 0.4904)  4 S 2.30-2.33
Si (0.0000, 0.8222, 0.4984)  4 S 2.15-2.16
Si (0.5000, 0.1778, 0.9984)  4 S 2.15-2.16
S (0.0000, 0.1409, 0.6026)  1 Si 2.15, 2 Cu 2.31
S (0.0000, 0.8062, 0.1510)  1 Si 2.15, 2 Cu 2.31
S (0.2296, 0.6617, 0.6203)  1 Si 2.16, 2 Cu 2.30-2.33
S (0.2704, 0.3383, 0.1203)  1 Si 2.16, 2 Cu 2.30-2.33
S (0.5000, 0.1938, 0.6510)  1 Si 2.15, 2 Cu 2.31
S (0.5000, 0.8591, 0.1026)  1 Si 2.15, 2 Cu 2.31
S (0.7296, 0.3383, 0.1203)  1 Si 2.16, 2 Cu 2.30-2.33
S (0.7704, 0.6617, 0.6203)  1 Si 2.16, 2 Cu 2.30-2.33

Entry 7:
AuO after structural relaxation, computed with PBE-GGA.

Calculated total energy in eV per atom: -3.64
Density in g cm⁻³: 13.8

a b c (Å): 3.0906 3.0906 3.0906
angles (deg): 71.06 71.06 71.06
Closest atoms and distances in Å follow each position.
Fractional coordinates of all 2 atoms:
Au (0.0000, 0.0000, 0.0000)  6 O 2.37
O (0.5000, 0.5000, 0.5000)  6 Au 2.37

Entry 8:
NbAlB4 after structural relaxation, computed with PBE-GGA.

Calculated total energy in eV per atom: -6.79
Density in g cm⁻³: 4.6

a b c (Å): 6.3732 10.8418 3.4390
angles (deg): 90.00 90.00 90.00
Closest atoms and distances in Å follow each position.
Fractional coordinates of all 24 atoms:
Nb (0.1510, 0.0846, 0.0000)  10 B 2.32-2.40
Nb (0.3490, 0.5846, 0.0000)  10 B 2.32-2.40
Nb (0.6510, 0.4154, 0.0000)  10 B 2.32-2.40
Nb (0.8490, 0.9154, 0.0000)  10 B 2.32-2.40
Al (0.0799, 0.3556, 0.0000)  8 B 2.33-2.60
Al (0.4201, 0.8556, 0.0000)  8 B 2.33-2.60
Al (0.5799, 0.1444, 0.0000)  8 B 2.33-2.60
Al (0.9201, 0.6444, 0.0000)  8 B 2.33-2.60
B (0.0309, 0.2128, 0.5000)  2 B 1.72-1.81
B (0.1113, 0.9320, 0.5000)  2 B 1.81-1.87
B (0.1315, 0.5143, 0.5000)  3 B 1.70-1.87
B (0.1699, 0.6818, 0.5000)  2 B 1.72-1.83
B (0.3301, 0.1818, 0.5000)  2 B 1.72-1.83
B (0.3685, 0.0143, 0.5000)  3 B 1.70-1.87
B (0.3887, 0.4320, 0.5000)  2 B 1.81-1.87
B (0.4691, 0.7128, 0.5000)  2 B 1.72-1.81
B (0.5309, 0.2872, 0.5000)  2 B 1.72-1.81
B (0.6113, 0.5680, 0.5000)  2 B 1.81-1.87
B (0.6315, 0.9857, 0.5000)  3 B 1.70-1.87
B (0.6699, 0.8182, 0.5000)  2 B 1.72-1.83
B (0.8301, 0.3182, 0.5000)  2 B 1.72-1.83
B (0.8685, 0.4857, 0.5000)  3 B 1.70-1.87
B (0.8887, 0.0680, 0.5000)  2 B 1.81-1.87
B (0.9691, 0.7872, 0.5000)  2 B 1.72-1.81

Entry 9:
RbPrAs after structural relaxation, computed with PBE-GGA.

Calculated total energy in eV per atom: -3.79
Density in g cm⁻³: 4.8

a b c (Å): 5.2936 5.2936 5.2936
angles (deg): 60.00 60.00 60.00
Closest atoms and distances in Å follow each position.
Fractional coordinates of all 3 atoms:
Rb (0.0000, 0.0000, 0.0000)  4 As 3.24
Pr (0.5000, 0.5000, 0.5000)  4 As 3.24
As (0.7500, 0.7500, 0.7500)  4 Pr 3.24, 4 Rb 3.24

Entry 10:
ErTm2Mg3InGa2 after structural relaxation, computed with PBE-GGA.

Calculated total energy in eV per atom: -3.43
Density in g cm⁻³: 6.7

a b c (Å): 4.5234 7.2574 7.2574
angles (deg): 120.09 90.00 90.00
Closest atoms and distances in Å follow each position.
Fractional coordinates of all 9 atoms:
Er (0.0000, 0.0000, 0.0000)  4 Ga 3.12, 1 In 3.18, 2 Mg 3.19
Tm (0.0000, 0.4384, 0.8767)  4 Ga 3.11, 1 In 3.18, 2 Mg 3.20
Tm (0.0000, 0.8767, 0.4384)  4 Ga 3.11, 1 In 3.18, 2 Mg 3.20
Mg (0.5000, 0.1882, 0.4387)  2 Ga 2.77, 2 In 2.90
Mg (0.5000, 0.4387, 0.1882)  2 Ga 2.77, 2 In 2.90
Mg (0.5000, 0.6888, 0.6888)  2 Ga 2.77, 2 In 2.90
In (0.0000, 0.4393, 0.4393)  6 Mg 2.90, 2 Tm 3.18, 1 Er 3.18
Ga (0.5000, 0.1055, 0.7714)  3 Mg 2.77
Ga (0.5000, 0.7714, 0.1055)  3 Mg 2.77

Entry 11:
Nd4Zr2Cu after structural relaxation, computed with PBE-GGA.

Calculated total energy in eV per atom: -5.28
ΔH_f (0 K) in eV/atom: 0.42
Density in g cm⁻³: 7.1

a b c (Å): 6.7866 6.7866 4.1777
angles (deg): 90.00 90.00 90.00
Closest atoms and distances in Å follow each position.
Fractional coordinates of all 7 atoms:
Nd (0.2492, 0.2492, 0.4915)  2 Cu 3.15-3.20, 4 Zr 3.16-3.20, 4 Nd 3.38-3.40
Nd (0.2492, 0.7508, 0.5085)  2 Cu 3.15-3.20, 4 Zr 3.16-3.20, 4 Nd 3.38-3.40
Nd (0.7508, 0.2492, 0.5085)  2 Cu 3.15-3.20, 4 Zr 3.16-3.20, 4 Nd 3.38-3.40
Nd (0.7508, 0.7508, 0.4915)  2 Cu 3.15-3.20, 4 Zr 3.16-3.20, 4 Nd 3.38-3.40
Zr (0.0000, 0.5000, 0.0000)  8 Nd 3.16-3.20, 2 Cu 3.39
Zr (0.5000, 0.0000, 0.0000)  8 Nd 3.16-3.20, 2 Cu 3.39
Cu (0.0000, 0.0000, 0.0000)  8 Nd 3.15-3.20, 4 Zr 3.39

Entry 12:
LiFeAgTe3 after structural relaxation, computed with PBE-GGA.

Calculated total energy in eV per atom: -3.87
Density in g cm⁻³: 6.5

a b c (Å): 7.0092 7.0092 10.9336
angles (deg): 90.00 90.00 148.44
Closest atoms and distances in Å follow each position.
Fractional coordinates of all 12 atoms:
Li (0.2446, 0.7554, 0.7500)  2 Ag 2.95, 4 Te 3.00-3.18
Li (0.7554, 0.2446, 0.2500)  2 Ag 2.95, 4 Te 3.00-3.18
Fe (0.5000, 0.5000, 0.0000)  6 Te 2.67-2.91
Fe (0.5000, 0.5000, 0.5000)  6 Te 2.67-2.91
Ag (0.0888, 0.9112, 0.2500)  4 Te 2.71-2.90, 2 Li 2.95
Ag (0.9112, 0.0888, 0.7500)  4 Te 2.71-2.90, 2 Li 2.95
Te (0.1388, 0.8612, 0.0102)  2 Fe 2.67, 1 Ag 2.71
Te (0.1388, 0.8612, 0.4898)  2 Fe 2.67, 1 Ag 2.71
Te (0.4270, 0.5730, 0.2500)  2 Ag 2.90, 2 Fe 2.91, 2 Li 3.00
Te (0.5730, 0.4270, 0.7500)  2 Ag 2.90, 2 Fe 2.91, 2 Li 3.00
Te (0.8612, 0.1388, 0.5102)  2 Fe 2.67, 1 Ag 2.71
Te (0.8612, 0.1388, 0.9898)  2 Fe 2.67, 1 Ag 2.71

Entry 13:
IrS2 after structural relaxation, computed with PBE-GGA.

Calculated total energy in eV per atom: -6.02
Density in g cm⁻³: 7.7

a b c (Å): 3.6003 5.7927 6.1787
angles (deg): 115.53 102.71 95.98
Closest atoms and distances in Å follow each position.
Fractional coordinates of all 6 atoms:
Ir (0.1911, 0.2174, 0.4875)  6 S 2.34-2.43
Ir (0.8089, 0.7826, 0.5125)  6 S 2.34-2.43
S (0.1693, 0.4873, 0.2833)  3 Ir 2.39-2.43
S (0.4350, 0.0431, 0.7577)  3 Ir 2.34-2.40
S (0.5650, 0.9569, 0.2423)  3 Ir 2.34-2.40
S (0.8307, 0.5127, 0.7167)  3 Ir 2.39-2.43

Entry 14:
Fe2CuB after structural relaxation, computed with PBE-GGA.

Calculated total energy in eV per atom: -6.40
Density in g cm⁻³: 7.7

a b c (Å): 3.8484 3.8484 3.8484
angles (deg): 60.00 60.00 60.00
Closest atoms and distances in Å follow each position.
Fractional coordinates of all 4 atoms:
Fe (0.0000, 0.0000, 0.0000)  4 B 2.36, 4 Fe 2.36
Fe (0.2500, 0.2500, 0.2500)  4 Fe 2.36, 4 Cu 2.36
Cu (0.5000, 0.5000, 0.5000)  4 Fe 2.36, 4 B 2.36
B (0.7500, 0.7500, 0.7500)  4 Fe 2.36, 4 Cu 2.36

Entry 15:
NbFeHgB after structural relaxation, computed with PBE-GGA.

Calculated total energy in eV per atom: -5.28
Density in g cm⁻³: 10.2
Relative energy among the computed polymorphs in meV per atom: 242

a b c (Å): 4.3639 4.3639 4.3639
angles (deg): 60.00 60.00 60.00
Closest atoms and distances in Å follow each position.
Fractional coordinates of all 4 atoms:
Nb (0.0000, 0.0000, 0.0000)  4 Fe 2.67, 4 Hg 2.67
Fe (0.7500, 0.7500, 0.7500)  4 Nb 2.67, 4 B 2.67
Hg (0.2500, 0.2500, 0.2500)  4 Nb 2.67, 4 B 2.67
B (0.5000, 0.5000, 0.5000)  4 Fe 2.67, 4 Hg 2.67

Entry 16:
MgScAgTe2S after structural relaxation, computed with PBE-GGA.

Calculated total energy in eV per atom: -4.28
Density in g cm⁻³: 5.4

a b c (Å): 7.1941 7.1941 10.3958
angles (deg): 90.00 90.00 147.65
Closest atoms and distances in Å follow each position.
Fractional coordinates of all 12 atoms:
Mg (0.2206, 0.7794, 0.7500)  2 S 2.61
Mg (0.7794, 0.2206, 0.2500)  2 S 2.61
Sc (0.5000, 0.5000, 0.0000)  2 S 2.94, 4 Te 2.95, 4 Ag 3.29
Sc (0.5000, 0.5000, 0.5000)  2 S 2.94, 4 Te 2.95, 4 Ag 3.29
Ag (0.0153, 0.9847, 0.2500)  2 S 2.55, 2 Te 2.73
Ag (0.9847, 0.0153, 0.7500)  2 S 2.55, 2 Te 2.73
Te (0.1502, 0.8498, 0.0581)  1 Ag 2.73, 2 Sc 2.95
Te (0.1502, 0.8498, 0.4419)  1 Ag 2.73, 2 Sc 2.95
Te (0.8498, 0.1502, 0.5581)  1 Ag 2.73, 2 Sc 2.95
Te (0.8498, 0.1502, 0.9419)  1 Ag 2.73, 2 Sc 2.95
S (0.4008, 0.5992, 0.2500)  2 Ag 2.55, 2 Mg 2.61
S (0.5992, 0.4008, 0.7500)  2 Ag 2.55, 2 Mg 2.61

Entry 17:
BaBeAu after structural relaxation, computed with PBE-GGA.

Calculated total energy in eV per atom: -2.73
Density in g cm⁻³: 6.8
Relative energy among the computed polymorphs in meV per atom: 0

a b c (Å): 4.9062 4.9062 4.9062
angles (deg): 60.00 60.00 60.00
Closest atoms and distances in Å follow each position.
Fractional coordinates of all 3 atoms:
Ba (0.0000, 0.0000, 0.0000)  4 Be 3.00
Be (0.7500, 0.7500, 0.7500)  4 Au 3.00, 4 Ba 3.00
Au (0.5000, 0.5000, 0.5000)  4 Be 3.00

Entry 18:
PmAsN2O after structural relaxation, computed with PBE-GGA.

Calculated total energy in eV per atom: -6.88
Density in g cm⁻³: 7.8

a b c (Å): 3.8744 3.8068 3.8068
angles (deg): 89.99 90.00 90.00
Closest atoms and distances in Å follow each position.
Fractional coordinates of all 5 atoms:
Pm (0.0000, 0.0000, 0.0000)  4 O 2.67-2.71, 8 N 2.70-2.73
As (0.5000, 0.4992, 0.4992)  4 N 1.90-1.91, 2 O 1.94
N (0.5000, 0.4955, 0.9984)  2 As 1.90-1.91
N (0.5000, 0.9984, 0.4955)  2 As 1.90-1.91
O (0.0000, 0.4967, 0.4967)  2 As 1.94

Entry 19:
LuCoRe after structural relaxation, computed with PBE-GGA.

Calculated total energy in eV per atom: -6.55
ΔH_f (0 K) in eV/atom: 1.46
Density in g cm⁻³: 11.7
Relative energy among the computed polymorphs in meV per atom: 652

a b c (Å): 4.3888 4.3888 4.3888
angles (deg): 60.00 60.00 60.00
Closest atoms and distances in Å follow each position.
Fractional coordinates of all 3 atoms:
Lu (0.0000, 0.0000, 0.0000)  4 Co 2.69, 4 Re 2.69
Co (0.7500, 0.7500, 0.7500)  4 Lu 2.69
Re (0.2500, 0.2500, 0.2500)  4 Lu 2.69

Entry 20:
TaTe6Mo2 after structural relaxation, computed with PBE-GGA.

Calculated total energy in eV per atom: -6.08
Density in g cm⁻³: 7.8

a b c (Å): 8.0742 8.0742 9.6774
angles (deg): 116.62 116.62 25.57
Closest atoms and distances in Å follow each position.
Fractional coordinates of all 9 atoms:
Ta (0.0000, 0.0000, 0.0000)  6 Te 2.83-2.87, 4 Mo 3.17
Te (0.0123, 0.0123, 0.3050)  2 Mo 2.70, 1 Ta 2.87
Te (0.2916, 0.2916, 0.3846)  3 Mo 2.82-2.83
Te (0.3545, 0.3545, 0.9774)  1 Mo 2.64, 2 Ta 2.83
Te (0.6455, 0.6455, 0.0226)  1 Mo 2.64, 2 Ta 2.83
Te (0.7084, 0.7084, 0.6154)  3 Mo 2.82-2.83
Te (0.9877, 0.9877, 0.6950)  2 Mo 2.70, 1 Ta 2.87
Mo (0.3641, 0.3641, 0.7119)  6 Te 2.64-2.83
Mo (0.6359, 0.6359, 0.2881)  6 Te 2.64-2.83